No. 1
Compound: Ba2ReO
Source: Alexandria
Functional: PBE
Structure: relaxed

Cell lengths 7.5867, 7.5867, 6.9502 Å; angles 56.92, 56.92, 90.00 degrees
Each line ends with the local moment (μB).
Fractional positions:
Re 0.0000 0.0000 0.0000  2.68
Re 0.7500 0.2500 0.5000  2.69
Ba 0.5448 0.1250 0.2500  -0.02
Ba 0.2052 0.6250 0.2500  -0.02
Ba 0.3750 0.4552 0.7500  -0.01
Ba 0.8750 0.7948 0.7500  -0.01
O 0.5000 0.5000 0.0000  0.03
O 0.2500 0.7500 0.5000  0.03

Output
space-group type = No. 122
E_form (uncorrected) = 0.03 eV/atom


No. 2
Compound: BaReO2
Source: Alexandria
Functional: PBE
Structure: relaxed

Cell lengths 4.9196, 4.9196, 6.9113 Å; angles 69.15, 69.15, 90.00 degrees
Fractional positions:
Re 0.0000 0.0000 0.0000
Re 0.7500 0.2500 0.5000
Ba 0.5000 0.5000 0.0000
Ba 0.2500 0.7500 0.5000
O 0.7957 0.1250 0.2500
O 0.9543 0.6250 0.2500
O 0.3750 0.2043 0.7500
O 0.8750 0.0457 0.7500

Output
space-group type = No. 122
E_form (uncorrected) = -1.08 eV/atom


No. 3
Compound: Ba2ReO5
Source: Alexandria
Functional: PBE
Structure: relaxed

Cell lengths 5.7739, 7.4511, 11.7122 Å; angles 90.00, 90.00, 90.00 degrees
Each line ends with the local moment (μB).
Fractional positions:
Ba 0.7500 0.4752 0.2858  -0.01
Ba 0.2500 0.5248 0.7142  -0.01
Ba 0.7500 0.9752 0.2142  -0.01
Ba 0.2500 0.0248 0.7858  -0.01
Ba 0.7500 0.1640 0.5804  -0.01
Ba 0.2500 0.8360 0.4196  -0.01
Ba 0.7500 0.6640 0.9196  -0.01
Ba 0.2500 0.3360 0.0804  -0.01
Re 0.7500 0.1690 0.9379  -0.40
Re 0.2500 0.8310 0.0621  -0.40
Re 0.7500 0.6690 0.5621  -0.40
Re 0.2500 0.3310 0.4379  -0.40
O 0.4870 0.1762 0.3859  -0.02
O 0.9870 0.8238 0.6141  -0.02
O 0.0130 0.6762 0.1141  -0.02
O 0.5130 0.3238 0.8859  -0.02
O 0.5130 0.8238 0.6141  -0.02
O 0.0130 0.1762 0.3859  -0.02
O 0.9870 0.3238 0.8859  -0.02
O 0.4870 0.6762 0.1141  -0.02
O 0.5000 0.5000 0.5000  0.00
O 0.0000 0.5000 0.5000  0.00
O 0.0000 0.0000 0.0000  0.00
O 0.5000 0.0000 0.0000  0.00
O 0.7500 0.2761 0.0909  -0.02
O 0.2500 0.7239 0.9091  -0.02
O 0.7500 0.7761 0.4091  -0.02
O 0.2500 0.2239 0.5909  -0.02
O 0.7500 0.0227 0.8078  -0.04
O 0.2500 0.9773 0.1922  -0.04
O 0.7500 0.5227 0.6922  -0.04
O 0.2500 0.4773 0.3078  -0.04

Output
space-group type = No. 62
E_form (uncorrected) = -2.30 eV/atom


No. 4
Compound: BaReO2
Source: Alexandria
Functional: PBE
Structure: relaxed

Cell lengths 6.4435, 6.4435, 6.4435 Å; angles 31.85, 31.85, 31.85 degrees
Fractional positions:
Re 0.5000 0.5000 0.5000
Ba 0.0000 0.0000 0.0000
O 0.8614 0.8614 0.8614
O 0.1386 0.1386 0.1386

Output
space-group type = No. 166
E_form (uncorrected) = -0.80 eV/atom


> Which of these has the lowest E_form (uncorrected)?

Ba2ReO5